AlSeBrN2 | PBE | optimized geometry

Properties
- density (Mg/m³) = 4.101
- polymorph energy (0 for the lowest one) (meV per atom) = 0
- M_tot (μB per atom) = 0.546
- final energy (eV per atom) = -4.24
- energy relative to the elements, uncorrected (meV per atom) = 870

a = 3.8495 Å, b = 3.8495 Å, c = 5.8441 Å
α = 90.00°, β = 90.00°, γ = 90.00°
Closest atoms and distances in Å follow each position.
Space group P4/mmm (No. 123)
One atom of each set of equivalent atoms:
Al: 0.0000 0.0000 0.0000 x1  4 N 1.92
Se: 0.0000 0.0000 0.5000 x1  4 Br 2.72, 2 Al 2.92
Br: 0.5000 0.5000 0.5000 x1  4 Se 2.72
N: 0.0000 0.5000 0.0000 x2  2 Al 1.92

---

AlSeBr2N | PBE | optimized geometry

Properties
- density (Mg/m³) = 4.501
- polymorph energy (0 for the lowest one) (meV per atom) = 133
- M_tot (μB per atom) = 0.000
- final energy (eV per atom) = -2.90
- energy relative to the elements, uncorrected (meV per atom) = 877

a = 4.8527 Å, b = 4.8527 Å, c = 4.3831 Å
α = 90.00°, β = 90.00°, γ = 90.00°
Closest atoms and distances in Å follow each position.
Space group P4/mmm (No. 123)
One atom of each set of equivalent atoms:
Al: 0.0000 0.0000 0.0000 x1  8 Br 3.27, 4 Se 3.43
Se: 0.5000 0.5000 0.0000 x1  2 N 2.19
Br: 0.0000 0.5000 0.5000 x2  2 N 2.43
N: 0.5000 0.5000 0.5000 x1  2 Se 2.19, 4 Br 2.43

---

AlSe2BrN | PBE | optimized geometry

Properties
- density (Mg/m³) = 4.712
- polymorph energy (0 for the lowest one) (meV per atom) = 0
- M_tot (μB per atom) = 0.000
- final energy (eV per atom) = -3.66
- energy relative to the elements, uncorrected (meV per atom) = 483

a = 5.2676 Å, b = 5.2676 Å, c = 3.5407 Å
α = 90.00°, β = 90.00°, γ = 90.00°
Closest atoms and distances in Å follow each position.
Space group P4/mmm (No. 123)
One atom of each set of equivalent atoms:
Al: 0.0000 0.0000 0.0000 x1  2 N 1.77
Se: 0.0000 0.5000 0.0000 x2  2 Al 2.63
Br: 0.5000 0.5000 0.5000 x1  8 Se 3.17, 2 Br 3.54
N: 0.0000 0.0000 0.5000 x1  2 Al 1.77

---

AlSeBrN2 | PBE | optimized geometry

Properties
- density (Mg/m³) = 3.367
- polymorph energy (0 for the lowest one) (meV per atom) = 941
- M_tot (μB per atom) = 0.126
- final energy (eV per atom) = -3.30
- energy relative to the elements, uncorrected (meV per atom) = 1811

a = 3.8034 Å, b = 3.8034 Å, c = 7.2907 Å
α = 90.00°, β = 90.00°, γ = 90.00°
Closest atoms and distances in Å follow each position.
Space group P4/mmm (No. 123)
One atom of each set of equivalent atoms:
Al: 0.0000 0.0000 0.0000 x1  4 Se 2.69
Se: 0.5000 0.5000 0.0000 x1  4 Al 2.69
Br: 0.5000 0.5000 0.5000 x1  4 N 1.90
N: 0.0000 0.5000 0.5000 x2  2 Br 1.90

---

AlSe2BrN | PBE | optimized geometry

Properties
- density (Mg/m³) = 4.986
- polymorph energy (0 for the lowest one) (meV per atom) = 341
- M_tot (μB per atom) = 0.000
- final energy (eV per atom) = -3.32
- energy relative to the elements, uncorrected (meV per atom) = 824

a = 4.3658 Å, b = 4.3658 Å, c = 4.8716 Å
α = 90.00°, β = 90.00°, γ = 90.00°
Closest atoms and distances in Å follow each position.
Space group P4/mmm (No. 123)
One atom of each set of equivalent atoms:
Al: 0.0000 0.0000 0.0000 x1  4 Br 3.09, 8 Se 3.27
Se: 0.0000 0.5000 0.5000 x2  2 N 2.18
Br: 0.5000 0.5000 0.0000 x1  2 N 2.44
N: 0.5000 0.5000 0.5000 x1  4 Se 2.18, 2 Br 2.44

---

AlSe2BrN | PBE | optimized geometry

Properties
- density (Mg/m³) = 3.683
- polymorph energy (0 for the lowest one) (meV per atom) = 483
- M_tot (μB per atom) = 0.332
- final energy (eV per atom) = -3.18
- energy relative to the elements, uncorrected (meV per atom) = 966

a = 4.9242 Å, b = 4.9242 Å, c = 5.1846 Å
α = 90.00°, β = 90.00°, γ = 90.00°
Closest atoms and distances in Å follow each position.
Space group P4/mmm (No. 123)
One atom of each set of equivalent atoms:
Al: 0.0000 0.0000 0.0000 x1  4 Se 2.46, 2 Br 2.59
Se: 0.0000 0.5000 0.0000 x2  2 Al 2.46
Br: 0.0000 0.0000 0.5000 x1  2 Al 2.59
N: 0.5000 0.5000 0.5000 x1  4 Br 3.48, 8 Se 3.58

---

AlSeBr2N | PBE | optimized geometry

Properties
- density (Mg/m³) = 3.573
- polymorph energy (0 for the lowest one) (meV per atom) = 0
- M_tot (μB per atom) = 0.428
- final energy (eV per atom) = -3.04
- energy relative to the elements, uncorrected (meV per atom) = 744

a = 5.1370 Å, b = 5.1370 Å, c = 4.9270 Å
α = 90.00°, β = 90.00°, γ = 90.00°
Closest atoms and distances in Å follow each position.
Space group P4/mmm (No. 123)
One atom of each set of equivalent atoms:
Al: 0.0000 0.0000 0.0000 x1  2 Se 2.46, 4 Br 2.57
Se: 0.0000 0.0000 0.5000 x1  2 Al 2.46
Br: 0.0000 0.5000 0.0000 x2  2 Al 2.57
N: 0.5000 0.5000 0.5000 x1  8 Br 3.56, 4 Se 3.63

---

AlTeBrN2 | PBE | optimized geometry

Properties
- density (Mg/m³) = 4.497
- polymorph energy (0 for the lowest one) (meV per atom) = 0
- M_tot (μB per atom) = 0.656
- final energy (eV per atom) = -4.13
- energy relative to the elements, uncorrected (meV per atom) = 911

a = 3.9993 Å, b = 3.9993 Å, c = 6.0597 Å
α = 90.00°, β = 90.00°, γ = 90.00°
Closest atoms and distances in Å follow each position.
Space group P4/mmm (No. 123)
One atom of each set of equivalent atoms:
Al: 0.0000 0.0000 0.0000 x1  4 N 2.00
Te: 0.0000 0.0000 0.5000 x1  4 Br 2.83, 2 Al 3.03
Br: 0.5000 0.5000 0.5000 x1  4 Te 2.83
N: 0.0000 0.5000 0.0000 x2  2 Al 2.00

---

Please write out number 4 again, unchanged.
AlSeBrN2 | PBE | optimized geometry

Properties
- density (Mg/m³) = 3.367
- polymorph energy (0 for the lowest one) (meV per atom) = 941
- M_tot (μB per atom) = 0.126
- final energy (eV per atom) = -3.30
- energy relative to the elements, uncorrected (meV per atom) = 1811

a = 3.8034 Å, b = 3.8034 Å, c = 7.2907 Å
α = 90.00°, β = 90.00°, γ = 90.00°
Closest atoms and distances in Å follow each position.
Space group P4/mmm (No. 123)
One atom of each set of equivalent atoms:
Al: 0.0000 0.0000 0.0000 x1  4 Se 2.69
Se: 0.5000 0.5000 0.0000 x1  4 Al 2.69
Br: 0.5000 0.5000 0.5000 x1  4 N 1.90
N: 0.0000 0.5000 0.5000 x2  2 Br 1.90

---

- Which value of density does entry 1 give?
  4.101 Mg/m³

---

Repeat the third record exactly.
AlSe2BrN | PBE | optimized geometry

Properties
- density (Mg/m³) = 4.712
- polymorph energy (0 for the lowest one) (meV per atom) = 0
- M_tot (μB per atom) = 0.000
- final energy (eV per atom) = -3.66
- energy relative to the elements, uncorrected (meV per atom) = 483

a = 5.2676 Å, b = 5.2676 Å, c = 3.5407 Å
α = 90.00°, β = 90.00°, γ = 90.00°
Closest atoms and distances in Å follow each position.
Space group P4/mmm (No. 123)
One atom of each set of equivalent atoms:
Al: 0.0000 0.0000 0.0000 x1  2 N 1.77
Se: 0.0000 0.5000 0.0000 x2  2 Al 2.63
Br: 0.5000 0.5000 0.5000 x1  8 Se 3.17, 2 Br 3.54
N: 0.0000 0.0000 0.5000 x1  2 Al 1.77

---

- Which of these has the lowest density?
  number 4